Record 1
# Nd7ErTl2 (PBE, relaxed)
# - E: -3.9340 eV per atom
# - E_form: 0.3330 eV/atom
data_Nd7ErTl2
_space_group_name_H-M_alt 'C m m m'
_space_group_IT_number 65
_space_group_name_Hall '-C 2 2'
_cell_length_a 9.398
_cell_length_b 16.211
_cell_length_c 5.367
_cell_angle_alpha 90.00
_cell_angle_beta 90.00
_cell_angle_gamma 90.00
loop_
_atom_site_label
_atom_site_fract_x
_atom_site_fract_y
_atom_site_fract_z
Nd1 0.000 0.000 0.000
Nd2 0.000 0.278 0.500
Nd3 0.182 0.381 0.000
Er1 0.000 0.500 0.500
Tl1 0.000 0.193 0.000



Record 2
# Li2Al6Pd (PBE, relaxed)
# - Energy above the lowest structure with this stoichiometry: 0.0 kJ per mole of atoms
# - E: -3.7630 eV per atom
# - E_form: -0.2657 eV/atom
data_Li2Al6Pd
_space_group_name_H-M_alt 'P 42/m n m'
_space_group_IT_number 136
_space_group_name_Hall '-P 4n 2n'
_cell_length_a 8.401
_cell_length_b 8.401
_cell_length_c 3.972
_cell_angle_alpha 90.00
_cell_angle_beta 90.00
_cell_angle_gamma 90.00
loop_
_atom_site_label
_atom_site_fract_x
_atom_site_fract_y
_atom_site_fract_z
Li1 0.182 0.182 0.000
Al1 0.019 0.328 0.500
Al2 0.146 0.854 0.000
Pd1 0.000 0.000 0.500



Record 3
# CeNi3H (PBE, relaxed)
# - E: -5.4142 eV per atom
data_CeNi3H
_space_group_name_H-M_alt 'P m -3 m'
_space_group_IT_number 221
_space_group_name_Hall '-P 4 2 3'
_cell_length_a 3.953
_cell_length_b 3.953
_cell_length_c 3.953
_cell_angle_alpha 90.00
_cell_angle_beta 90.00
_cell_angle_gamma 90.00
loop_
_atom_site_label
_atom_site_fract_x
_atom_site_fract_y
_atom_site_fract_z
Ce1 0.000 0.000 0.000
Ni1 0.000 0.500 0.500
H1 0.500 0.500 0.500



Record 4
# SrCoBr (PBE, relaxed)
# - Raw formation energy: -0.80 eV per atom
# - E: -4.2884 eV per atom
data_SrCoBr
_space_group_name_H-M_alt 'P -1'
_space_group_IT_number 2
_cell_length_a 4.062
_cell_length_b 4.062
_cell_length_c 12.611
_cell_angle_alpha 81.66
_cell_angle_beta 88.31
_cell_angle_gamma 60.01
loop_
_space_group_symop_operation_xyz
'x,y,z'
'-x,-y,-z'
loop_
_atom_site_label
_atom_site_fract_x
_atom_site_fract_y
_atom_site_fract_z
Sr1 0.033 0.399 0.187
Co1 0.334 0.833 0.000
Br1 0.274 0.015 0.663



Record 5
# Mg2As2Pd3 (PBE, relaxed)
# - Energy above the lowest structure with this stoichiometry: 0.0 kJ per mole of atoms
# - E: -4.5484 eV per atom
# - E_form: -0.5389 eV/atom
data_Mg2As2Pd3
_space_group_name_H-M_alt 'C 1 2/m 1'
_space_group_IT_number 12
_cell_length_a 10.512
_cell_length_b 3.702
_cell_length_c 6.714
_cell_angle_alpha 90.00
_cell_angle_beta 111.89
_cell_angle_gamma 90.00
loop_
_space_group_symop_operation_xyz
'x,y,z'
'-x,-y,-z'
'-x,y,-z'
'x,-y,z'
'x+1/2,y+1/2,z'
'-x+1/2,-y+1/2,-z'
'-x+1/2,y+1/2,-z'
'x+1/2,-y+1/2,z'
loop_
_atom_site_label
_atom_site_fract_x
_atom_site_fract_y
_atom_site_fract_z
Mg1 0.093 0.000 0.242
As1 0.172 0.000 0.695
Pd1 0.000 0.500 0.500
Pd2 0.127 0.500 0.951



Record 6
# Zn2TcAg (PBE, relaxed)
# - Energy above the lowest structure with this stoichiometry: 2.0 kJ per mole of atoms
# - E: -3.8556 eV per atom
# - E_form: 0.0857 eV/atom
data_Zn2TcAg
_space_group_name_H-M_alt 'P 4/m m m'
_space_group_IT_number 123
_space_group_name_Hall '-P 4 2'
_cell_length_a 2.724
_cell_length_b 2.724
_cell_length_c 8.184
_cell_angle_alpha 90.00
_cell_angle_beta 90.00
_cell_angle_gamma 90.00
loop_
_atom_site_label
_atom_site_fract_x
_atom_site_fract_y
_atom_site_fract_z
Zn1 0.000 0.000 0.240
Tc1 0.500 0.500 0.000
Ag1 0.500 0.500 0.500



Record 7
# Ga2AuBr (PBE, relaxed)
# - Energy above the lowest structure with this stoichiometry: 9.6 kJ per mole of atoms
# - Raw formation energy: -0.22 eV per atom
# - E: -2.9738 eV per atom
data_Ga2AuBr
_space_group_name_H-M_alt 'R 3 m'
_space_group_IT_number 160
_space_group_name_Hall 'R 3 -2"'
_cell_length_a 3.8988
_cell_length_b 3.8988
_cell_length_c 21.8466
_cell_angle_alpha 90.00
_cell_angle_beta 90.00
_cell_angle_gamma 120.00
loop_
_atom_site_label
_atom_site_fract_x
_atom_site_fract_y
_atom_site_fract_z
Ga1 0.0000 0.0000 0.0000
Ga2 0.0000 0.0000 0.1996
Au1 0.0000 0.0000 0.5984
Br1 0.0000 0.0000 0.4222



Record 8
# Ac2TbPr2 (PBE, relaxed)
# - Energy above the lowest structure with this stoichiometry: 29.8 kJ per mole of atoms
# - E: -4.0426 eV per atom
# - E_form: 0.4386 eV/atom
data_Ac2TbPr2
_space_group_name_H-M_alt 'I 4/m m m'
_space_group_IT_number 139
_space_group_name_Hall '-I 4 2'
_cell_length_a 4.966
_cell_length_b 4.966
_cell_length_c 16.836
_cell_angle_alpha 90.00
_cell_angle_beta 90.00
_cell_angle_gamma 90.00
loop_
_atom_site_label
_atom_site_fract_x
_atom_site_fract_y
_atom_site_fract_z
Ac1 0.000 0.500 0.250
Tb1 0.000 0.000 0.000
Pr1 0.000 0.000 0.409



E of number 2 (Li2Al6Pd)? -3.7630 eV per atom



Which of these has the lowest E? CeNi3H